# 1
# Pr4Tl5In

Pr4Tl5In after structural relaxation (PBE-GGA, the Alexandria database).

The value obtained for the density of states at the Fermi level is 0.800 states/eV per atom. The calculation puts the volume at 32.58 Å³/atom. The calculation puts the formation energy at -0.101 eV/atom.

It has space group Pmmn (No. 59, origin choice 2), with a = 7.809 Å, b = 10.560 Å, c = 7.903 Å, α = 90.00°, β = 90.00° and γ = 90.00°. Symmetry generates all atoms from Pr at (0.008, 0.250, 0.196), Pr at (0.250, 0.563, 0.476), Tl at (0.056, 0.061, 0.821), Tl at (0.250, 0.750, 0.117) and In at (0.250, 0.250, 0.540).

---

# 2
# Ca2Al3GeAu4

Ca2Al3GeAu4 after structural relaxation (PBE-GGA, the Alexandria database).

The value obtained for the density of states at the Fermi level is 0.438 states/eV per atom. The calculation puts the volume at 20.72 Å³/atom. The calculation puts the formation energy at -0.580 eV/atom.

It has space group P-4m2 (No. 115), with a = 4.379 Å, b = 4.379 Å, c = 10.805 Å, α = 90.00°, β = 90.00° and γ = 90.00°. Symmetry generates all atoms from Ca at (0.000, 0.500, 0.250), Al at (0.000, 0.000, 0.000), Al at (0.000, 0.500, 0.628), Ge at (0.500, 0.500, 0.000), Au at (0.000, 0.000, 0.500), Au at (0.000, 0.500, 0.860) and Au at (0.500, 0.500, 0.500).

---

# 3
# PaZnCd2

PaZnCd2 after structural relaxation (PBE-GGA, the Alexandria database).

The value obtained for the density of states at the Fermi level is 1.928 states/eV per atom. The calculation puts the volume at 23.18 Å³/atom. The calculation puts the formation energy at 0.211 eV/atom.

It has space group P4/mmm (No. 123), with a = 4.371 Å, b = 4.371 Å, c = 4.853 Å, α = 90.00°, β = 90.00° and γ = 90.00°. Symmetry generates all atoms from Pa at (0.000, 0.000, 0.000), Zn at (0.500, 0.500, 0.000) and Cd at (0.000, 0.500, 0.500).

---

# 4
# RhPb5

RhPb5 after structural relaxation (PBE-GGA, the Alexandria database).

The value obtained for the density of states at the Fermi level is 0.724 states/eV per atom. The calculation puts the volume at 28.26 Å³/atom. The calculation puts the formation energy at 0.010 eV/atom.

It has space group I4/mcm (No. 140), with a = 7.013 Å, b = 7.013 Å, c = 13.790 Å, α = 90.00°, β = 90.00° and γ = 90.00°. Symmetry generates all atoms from Rh at (0.000, 0.000, 0.250), Pb at (0.000, 0.000, 0.000) and Pb at (0.161, 0.339, 0.150).

---

# 5
# Tl3CoBr5

Tl3CoBr5 after structural relaxation (PBE-GGA, the Alexandria database).

The formation energy (no corrections) comes out at -0.665 eV per atom. The calculation puts the volume at 33.23 Å³/atom.

It has space group I4/mcm (No. 140), with a = 8.878 Å, b = 8.878 Å, c = 15.180 Å, α = 90.00°, β = 90.00° and γ = 90.00°. Symmetry generates all atoms from Tl at (0.000, 0.000, 0.250), Tl at (0.159, 0.341, 0.000), Co at (0.000, 0.500, 0.250), Br at (0.000, 0.000, 0.000) and Br at (0.150, 0.350, 0.347).

---

# 6
# Ac2LaPm3

Ac2LaPm3 after structural relaxation (PBE-GGA, the Alexandria database).

The value obtained for the density of states at the Fermi level is 1.416 states/eV per atom. The calculation puts the volume at 38.88 Å³/atom. The calculation puts the formation energy at 0.136 eV/atom.

It has space group Pnnm (No. 58), with a = 7.317 Å, b = 17.224 Å, c = 3.702 Å, α = 90.00°, β = 90.00° and γ = 90.00°. Symmetry generates all atoms from Ac at (0.248, 0.166, 0.000), La at (0.000, 0.500, 0.000), Pm at (0.000, 0.000, 0.500) and Pm at (0.250, 0.354, 0.500).